[1]
Density functional theory data (PBE) for a relaxed NaLi2Cd crystal.

Computed properties:
E_tot	-1.619	eV per atom
ΔH_f (0 K)	-0.103	eV/atom
theoretical density	2.75	g/cm3

Geometry as CIF:
```
data_NaLi2Cd
_symmetry_space_group_name_H-M 'P 4/m m m'
_symmetry_Int_Tables_number 123
_symmetry_space_group_name_Hall '-P 4 2'
_cell_length_a 3.6237
_cell_length_b 3.6237
_cell_length_c 6.8694
_cell_angle_alpha 90.00
_cell_angle_beta 90.00
_cell_angle_gamma 90.00
loop_
_atom_site_label
_atom_site_fract_x
_atom_site_fract_y
_atom_site_fract_z
_atom_site_occupancy
Na1 0.0000 0.0000 0.0000 1
Li1 0.5000 0.5000 0.2996 1
Cd1 0.0000 0.0000 0.5000 1
```

[2]
Density functional theory data (PBE) for a relaxed CuPCl2 crystal.

Computed properties:
raw formation energy	191	meV per atom
E_tot	-3.109	eV per atom
theoretical density	3.54	g/cm3
energy above the lowest structure with this stoichiometry	207	kJ/mol of formula units

Geometry as CIF:
```
data_CuPCl2
_symmetry_space_group_name_H-M 'P 4 m m'
_symmetry_Int_Tables_number 99
_symmetry_space_group_name_Hall 'P 4 -2'
_cell_length_a 3.1495
_cell_length_b 3.1495
_cell_length_c 7.8168
_cell_angle_alpha 90.00
_cell_angle_beta 90.00
_cell_angle_gamma 90.00
loop_
_atom_site_label
_atom_site_fract_x
_atom_site_fract_y
_atom_site_fract_z
_atom_site_occupancy
Cu1 0.0000 0.0000 0.0000 1
P1 0.5000 0.5000 0.1505 1
Cl1 0.0000 0.0000 0.3862 1
Cl2 0.5000 0.5000 0.8135 1
```

[3]
Density functional theory data (PBE) for a relaxed BaZnCr3 crystal.

Computed properties:
E_tot	-4.035	eV per atom
ΔH_f (0 K)	2.379	eV/atom
theoretical density	4.21	g/cm3
energy above the lowest structure with this stoichiometry	671	kJ/mol of formula units

Geometry as CIF:
```
data_BaZnCr3
_symmetry_space_group_name_H-M 'P m -3 m'
_symmetry_Int_Tables_number 221
_symmetry_space_group_name_Hall '-P 4 2 3'
_cell_length_a 5.2103
_cell_length_b 5.2103
_cell_length_c 5.2103
_cell_angle_alpha 90.00
_cell_angle_beta 90.00
_cell_angle_gamma 90.00
loop_
_atom_site_label
_atom_site_fract_x
_atom_site_fract_y
_atom_site_fract_z
_atom_site_occupancy
Ba1 0.0000 0.0000 0.0000 1
Zn1 0.5000 0.5000 0.5000 1
Cr1 0.0000 0.0000 0.5000 1
```